Below is a relaxed CsMnBrF2 crystal, with properties calculated at the GGA+U level.

Its magnetization is 5.00 μB/f.u. Its volume is 114.3 Å³ per cell. The value obtained for the final energy is -4.855 eV per atom.

The space group is P4/mmm (No. 123) and the conventional cell measures 4.636, 4.636 and 5.318 Å, with angles of 90.00, 90.00 and 90.00 degrees. The inequivalent atoms are Cs at (0.000, 0.000, 0.000), Mn at (0.500, 0.500, 0.500), Br at (0.500, 0.500, 0.000) and F at (0.000, 0.500, 0.500).